Sn2BI: optimized geometry, PBE-GGA.

Summary:
Uncorrected formation energy: 465 meV/atom
Crystal system: tetragonal
Mass density: 5.62 g/cm³
Energy relative to the lowest polymorph listed for this composition: 0.0000 eV/atom

```
Sn2BI
1.0
-3.503 3.503 4.520
3.503 -3.503 4.520
3.503 3.503 -4.520
Sn B I
4 2 2
direct
0.010 0.625 0.885 Sn
0.375 0.260 0.385 Sn
0.740 0.125 0.115 Sn
0.875 0.990 0.615 Sn
0.000 0.000 0.000 B
0.750 0.250 0.500 B
0.250 0.750 0.500 I
0.500 0.500 0.000 I
```

SnB2I8: optimized geometry, PBE-GGA.

Summary:
Uncorrected formation energy: -141 meV/atom
Crystal system: monoclinic
Mass density: 3.81 g/cm³

```
SnB2I8
1.0
10.126 -5.449 0.000
10.126 5.449 0.000
-5.344 0.000 9.118
Sn B I
2 4 16
direct
0.031 0.969 0.750 Sn
0.969 0.031 0.250 Sn
0.143 0.666 0.941 B
0.334 0.857 0.559 B
0.666 0.143 0.441 B
0.857 0.334 0.059 B
0.068 0.253 0.013 I
0.101 0.635 0.699 I
0.153 0.782 0.432 I
0.218 0.847 0.068 I
0.253 0.068 0.513 I
0.309 0.465 0.005 I
0.365 0.899 0.801 I
0.465 0.309 0.505 I
0.535 0.691 0.495 I
0.635 0.101 0.199 I
0.691 0.535 0.995 I
0.747 0.932 0.487 I
0.782 0.153 0.932 I
0.847 0.218 0.568 I
0.899 0.365 0.301 I
0.932 0.747 0.987 I
```

SnB2I: optimized geometry, PBE-GGA.

Summary:
Uncorrected formation energy: 1195 meV/atom
Crystal system: tetragonal
Mass density: 5.28 g/cm³
Energy relative to the lowest polymorph listed for this composition: 0.0000 eV/atom

```
SnB2I
1.0
-2.728 2.728 5.647
2.728 -2.728 5.647
2.728 2.728 -5.647
Sn B I
2 4 2
direct
0.000 0.000 0.000 Sn
0.750 0.250 0.500 Sn
0.090 0.625 0.965 B
0.375 0.340 0.465 B
0.660 0.125 0.035 B
0.875 0.910 0.535 B
0.250 0.750 0.500 I
0.500 0.500 0.000 I
```

Sn2BI: optimized geometry, PBE-GGA.

Summary:
Uncorrected formation energy: 1123 meV/atom
Crystal system: cubic
Mass density: 6.25 g/cm³
Energy relative to the lowest polymorph listed for this composition: 0.6580 eV/atom

```
Sn2BI
1.0
0.000 3.681 3.681
3.681 0.000 3.681
3.681 3.681 0.000
Sn B I
2 1 1
direct
0.250 0.250 0.250 Sn
0.750 0.750 0.750 Sn
0.000 0.000 0.000 B
0.500 0.500 0.500 I
```

SnB2I: optimized geometry, PBE-GGA.

Summary:
Uncorrected formation energy: 1870 meV/atom
Crystal system: cubic
Mass density: 6.14 g/cm³
Energy relative to the lowest polymorph listed for this composition: 0.6752 eV/atom

```
SnB2I
1.0
0.000 3.306 3.306
3.306 0.000 3.306
3.306 3.306 0.000
Sn B I
1 2 1
direct
0.000 0.000 0.000 Sn
0.250 0.250 0.250 B
0.750 0.750 0.750 B
0.500 0.500 0.500 I
```

SnB3I: optimized geometry, PBE-GGA.

Summary:
Uncorrected formation energy: 2011 meV/atom
Crystal system: cubic
Mass density: 4.50 g/cm³
Energy relative to the lowest polymorph listed for this composition: 0.0000 eV/atom

```
SnB3I
1.0
4.681 0.000 0.000
0.000 4.681 0.000
0.000 0.000 4.681
Sn B I
1 3 1
direct
0.000 0.000 0.000 Sn
0.000 0.000 0.500 B
0.000 0.500 0.000 B
0.500 0.000 0.000 B
0.500 0.500 0.500 I
```

Please write out number 2 again, unchanged.
SnB2I8: optimized geometry, PBE-GGA.

Summary:
Uncorrected formation energy: -141 meV/atom
Crystal system: monoclinic
Mass density: 3.81 g/cm³

```
SnB2I8
1.0
10.126 -5.449 0.000
10.126 5.449 0.000
-5.344 0.000 9.118
Sn B I
2 4 16
direct
0.031 0.969 0.750 Sn
0.969 0.031 0.250 Sn
0.143 0.666 0.941 B
0.334 0.857 0.559 B
0.666 0.143 0.441 B
0.857 0.334 0.059 B
0.068 0.253 0.013 I
0.101 0.635 0.699 I
0.153 0.782 0.432 I
0.218 0.847 0.068 I
0.253 0.068 0.513 I
0.309 0.465 0.005 I
0.365 0.899 0.801 I
0.465 0.309 0.505 I
0.535 0.691 0.495 I
0.635 0.101 0.199 I
0.691 0.535 0.995 I
0.747 0.932 0.487 I
0.782 0.153 0.932 I
0.847 0.218 0.568 I
0.899 0.365 0.301 I
0.932 0.747 0.987 I
```

- Which of these has the lowest uncorrected formation energy?
  SnB2I8

- What is the uncorrected formation energy in the first record?
  465 meV/atom